No. 1
Density functional theory data (PBE) for a relaxed structure of KCrHPt2.

Cell: 4.180 4.180 4.408 Å, 90.00 90.00 90.00°
Element x y z (fractional)
K 0.000 0.000 0.000
Cr 0.500 0.500 0.000
H 0.500 0.500 0.500
Pt 0.000 0.500 0.500
Pt 0.500 0.000 0.500

Properties
Mass density = 10.40 g/cm³
Crystal system = tetragonal
Final energy = -24.27 eV per cell
Symmetry = P4/mmm, No. 123
Fermi-level density of states = 3.29 states/eV/cell

No. 2
Density functional theory data (PBE) for a relaxed structure of AlCr2As.

Cell: 3.148 4.602 7.712 Å, 90.00 90.00 90.00°
Element x y z (fractional)
Al 0.000 0.000 0.000
Al 0.500 0.500 0.000
Cr 0.000 0.500 0.262
Cr 0.000 0.500 0.738
Cr 0.500 0.000 0.262
Cr 0.500 0.000 0.738
As 0.000 0.000 0.500
As 0.500 0.500 0.500

Properties
Mass density = 6.12 g/cm³
Crystal system = orthorhombic
Final energy = -53.65 eV per cell
Formation energy = 0.204 eV/atom
Excess energy over the best structure of this formula in the dataset = 0.258 eV/atom
Symmetry = Cmmm, No. 65
Fermi-level density of states = 9.37 states/eV/cell

No. 3
Density functional theory data (PBE) for a relaxed structure of NaTlCdPb.

Cell: 7.589 7.589 7.589 Å, 90.00 90.00 90.00°
Element x y z (fractional)
Na 0.000 0.000 0.000
Na 0.000 0.500 0.500
Na 0.500 0.000 0.500
Na 0.500 0.500 0.000
Tl 0.250 0.250 0.750
Tl 0.250 0.750 0.250
Tl 0.750 0.250 0.250
Tl 0.750 0.750 0.750
Cd 0.000 0.000 0.500
Cd 0.000 0.500 0.000
Cd 0.500 0.000 0.000
Cd 0.500 0.500 0.500
Pb 0.250 0.250 0.250
Pb 0.250 0.750 0.750
Pb 0.750 0.250 0.750
Pb 0.750 0.750 0.250

Properties
Mass density = 8.31 g/cm³
Crystal system = cubic
Final energy = -34.49 eV per cell
Formation energy = -0.079 eV/atom
Excess energy over the best structure of this formula in the dataset = 0.000 eV/atom
Symmetry = F-43m, No. 216
Fermi-level density of states = 7.54 states/eV/cell

No. 4
Density functional theory data (PBE) for a relaxed structure of AcNdMgSn.

Cell: 7.952 7.952 7.952 Å, 90.00 90.00 90.00°
Element x y z (fractional)
Ac 0.000 0.000 0.000
Ac 0.000 0.500 0.500
Ac 0.500 0.000 0.500
Ac 0.500 0.500 0.000
Nd 0.000 0.000 0.500
Nd 0.000 0.500 0.000
Nd 0.500 0.000 0.000
Nd 0.500 0.500 0.500
Mg 0.250 0.250 0.250
Mg 0.250 0.750 0.750
Mg 0.750 0.250 0.750
Mg 0.750 0.750 0.250
Sn 0.250 0.250 0.750
Sn 0.250 0.750 0.250
Sn 0.750 0.250 0.250
Sn 0.750 0.750 0.750

Properties
Mass density = 6.79 g/cm³
Crystal system = cubic
Final energy = -63.89 eV per cell
Formation energy = -0.375 eV/atom
Symmetry = F-43m, No. 216
Fermi-level density of states = 15.41 states/eV/cell

No. 5
Density functional theory data (PBE) for a relaxed structure of TbAlFe2C.

Cell: 5.624 5.624 6.806 Å, 90.00 90.00 139.03°
Element x y z (fractional)
Tb 0.051 0.949 0.750
Tb 0.949 0.051 0.250
Al 0.231 0.769 0.250
Al 0.769 0.231 0.750
Fe 0.337 0.663 0.570
Fe 0.337 0.663 0.930
Fe 0.663 0.337 0.070
Fe 0.663 0.337 0.430
C 0.500 0.500 0.000
C 0.500 0.500 0.500

Properties
Mass density = 7.28 g/cm³
Crystal system = orthorhombic
Final energy = -71.66 eV per cell
Formation energy = -0.262 eV/atom
Symmetry = Cmcm, No. 63
Fermi-level density of states = 8.22 states/eV/cell

No. 6
Density functional theory data (PBE) for a relaxed structure of GaP2O.

Cell: 5.956 5.956 5.956 Å, 90.00 90.00 90.00°
Element x y z (fractional)
Ga 0.000 0.000 0.000
Ga 0.000 0.500 0.500
Ga 0.500 0.000 0.500
Ga 0.500 0.500 0.000
P 0.250 0.250 0.250
P 0.250 0.250 0.750
P 0.250 0.750 0.250
P 0.250 0.750 0.750
P 0.750 0.250 0.250
P 0.750 0.250 0.750
P 0.750 0.750 0.250
P 0.750 0.750 0.750
O 0.000 0.000 0.500
O 0.000 0.500 0.000
O 0.500 0.000 0.000
O 0.500 0.500 0.500

Properties
Mass density = 4.64 g/cm³
Crystal system = cubic
Final energy = -66.80 eV per cell
Excess energy over the best structure of this formula in the dataset = 0.445 eV/atom
Symmetry = Fm-3m, No. 225
Fermi-level density of states = 7.25 states/eV/cell

No. 7
Density functional theory data (PBE) for a relaxed structure of Sc11Hg9Ir4.

Cell: 12.558 12.558 3.376 Å, 90.00 90.00 112.51°
Element x y z (fractional)
Sc 0.000 0.000 0.000
Sc 0.084 0.418 0.000
Sc 0.163 0.837 0.000
Sc 0.294 0.294 0.000
Sc 0.362 0.638 0.000
Sc 0.418 0.084 0.000
Sc 0.582 0.916 0.000
Sc 0.638 0.362 0.000
Sc 0.706 0.706 0.000
Sc 0.837 0.163 0.000
Sc 0.916 0.582 0.000
Hg 0.060 0.211 0.500
Hg 0.144 0.633 0.500
Hg 0.211 0.060 0.500
Hg 0.367 0.856 0.500
Hg 0.500 0.500 0.500
Hg 0.633 0.144 0.500
Hg 0.789 0.940 0.500
Hg 0.856 0.367 0.500
Hg 0.940 0.789 0.500
Ir 0.256 0.452 0.500
Ir 0.452 0.256 0.500
Ir 0.548 0.744 0.500
Ir 0.744 0.548 0.500

Properties
Mass density = 10.36 g/cm³
Crystal system = orthorhombic
Final energy = -121.70 eV per cell
Formation energy = -0.579 eV/atom
Symmetry = Cmmm, No. 65
Fermi-level density of states = 18.11 states/eV/cell

No. 8
Density functional theory data (PBE) for a relaxed structure of CaMgBe.

Cell: 6.706 6.706 6.706 Å, 90.00 90.00 90.00°
Element x y z (fractional)
Ca 0.000 0.000 0.000
Ca 0.000 0.500 0.500
Ca 0.500 0.000 0.500
Ca 0.500 0.500 0.000
Mg 0.000 0.000 0.500
Mg 0.000 0.500 0.000
Mg 0.500 0.000 0.000
Mg 0.500 0.500 0.500
Be 0.250 0.250 0.750
Be 0.250 0.750 0.250
Be 0.750 0.250 0.250
Be 0.750 0.750 0.750

Properties
Mass density = 1.62 g/cm³
Crystal system = cubic
Final energy = -24.87 eV per cell
Formation energy = 0.368 eV/atom
Excess energy over the best structure of this formula in the dataset = 0.257 eV/atom
Symmetry = F-43m, No. 216
Fermi-level density of states = 9.82 states/eV/cell

No. 9
Density functional theory data (PBE) for a relaxed structure of Dy2TmCdC.

Cell: 4.955 4.955 4.801 Å, 90.00 90.00 90.00°
Element x y z (fractional)
Dy 0.000 0.500 0.000
Dy 0.500 0.000 0.000
Tm 0.000 0.000 0.500
Cd 0.500 0.500 0.500
C 0.000 0.000 0.000

Properties
Mass density = 8.71 g/cm³
Crystal system = tetragonal
Final energy = -25.41 eV per cell
Formation energy = -0.319 eV/atom
Symmetry = P4/mmm, No. 123
Fermi-level density of states = 6.90 states/eV/cell